KRbGa2Pd: relaxed, GGA-PBE.

a b c (Å): 4.993 4.993 6.078
angles (deg): 90.00 90.00 90.00
Atoms (fractional coordinates):
Ga 0.500 0.000 0.000
Ga 0.000 0.500 0.000
K 0.000 0.000 0.500
Rb 0.500 0.500 0.500
Pd 0.000 0.000 0.000

Computed properties:
M_tot ... 0.0 μB per formula unit
Formation enthalpy at 0 K ... -107 meV/atom
Space group ... P4/mmm (123)
Raw total energy ... -2.769 eV/atom


KGa2PdRu: relaxed, GGA-PBE.

a b c (Å): 4.839 5.289 4.839
angles (deg): 90.00 90.00 90.00
Atoms (fractional coordinates):
Ru 0.000 0.500 0.000
Ga 0.500 0.000 0.000
Ga 0.000 0.000 0.500
Pd 0.000 0.000 0.000
K 0.500 0.500 0.500

Computed properties:
M_tot ... 2.6 μB per formula unit
Formation enthalpy at 0 K ... 502 meV/atom
Space group ... P4/mmm (123)
Raw total energy ... -3.822 eV/atom


> Look up the formation enthalpy at 0 K of the second one.

502 meV/atom


> Which formula does entry 2 have?

KGa2PdRu


> Which of these has the highest raw total energy?

KRbGa2Pd


> What is the formation enthalpy at 0 K in the second record?

502 meV/atom